[1]
This record from Alexandria describes an optimized crystal structure of CeHoTh2. The functional is GGA-PBE.

abc: 5.5986 5.5986 5.5986
angles: 60.00 60.00 60.00
Fractional positions:
Ce  0.0000  0.0000  0.0000
Ho  0.5000  0.5000  0.5000
Th  0.2500  0.2500  0.2500
Th  0.7500  0.7500  0.7500

Properties
As for the polymorph energy (0 for the lowest one): 157 meV per atom. As for the space-group type: Fm-3m, No. 225.

---

[2]
This record from Alexandria describes an optimized crystal structure of CeHoTh2. The functional is GGA-PBE.

abc: 3.5258 3.5258 11.6836
angles: 81.32 81.32 60.00
Fractional positions:
Ce  0.4990  0.4990  0.5029
Ho  0.6681  0.6681  0.9958
Th  0.0844  0.0844  0.7469
Th  0.2485  0.2485  0.2544

Properties
As for the polymorph energy (0 for the lowest one): 13 meV per atom. As for the space-group type: R3m, No. 160.

---

[3]
This record from Alexandria describes an optimized crystal structure of CeHoTh4. The functional is GGA-PBE.

abc: 10.6328 6.0913 6.0986
angles: 71.37 90.00 90.00
Fractional positions:
Ce  0.5000  0.5000  0.0000
Ce  0.0000  0.0000  0.0000
Ho  0.0000  0.5000  0.5000
Ho  0.5000  0.0000  0.5000
Th  0.1664  0.4999  0.0001
Th  0.3336  0.9999  0.0001
Th  0.6663  0.5000  0.4998
Th  0.1663  0.0000  0.5002
Th  0.8337  0.0000  0.4998
Th  0.3337  0.5000  0.5002
Th  0.6664  0.0001  0.9999
Th  0.8336  0.5001  0.9999

Properties
As for the polymorph energy (0 for the lowest one): 0 meV per atom. As for the space-group type: C2/m, No. 12.

---

[4]
This record from Alexandria describes an optimized crystal structure of CeHoThTl. The functional is GGA-PBE.

abc: 5.4600 5.4600 5.4600
angles: 60.00 60.00 60.00
Each line ends with the local moment (μB).
Fractional positions:
Tl  0.0000  0.0000  0.0000  -0.01
Ce  0.5000  0.5000  0.5000  0.34
Ho  0.2500  0.2500  0.2500  0.03
Th  0.7500  0.7500  0.7500  0.04

Properties
As for the space-group type: F-43m, No. 216.

---

[5]
This record from Alexandria describes an optimized crystal structure of CeHoTmTh. The functional is GGA-PBE.

abc: 5.6214 5.6214 5.6214
angles: 60.00 60.00 60.00
Each line ends with the local moment (μB).
Fractional positions:
Tm  0.7500  0.7500  0.7500  0.32
Ho  0.5000  0.5000  0.5000  0.37
Th  0.2500  0.2500  0.2500  0.38
Ce  0.0000  0.0000  0.0000  0.95

Properties
As for the polymorph energy (0 for the lowest one): 203 meV per atom. As for the space-group type: F-43m, No. 216.

---

[6]
This record from Alexandria describes an optimized crystal structure of Ce2Ho3Tm6Th. The functional is GGA-PBE.

abc: 6.0664 6.0664 11.5697
angles: 95.02 95.02 119.99
Each line ends with the local moment (μB).
Fractional positions:
Ce  0.3333  0.6667  0.0000  0.46
Ce  0.6667  0.3333  0.0000  0.46
Ho  0.1667  0.8333  0.5000  -0.01
Ho  0.8333  0.1667  0.5000  -0.01
Ho  0.5000  0.5000  0.5000  -0.01
Tm  0.9171  0.5847  0.7523  0.00
Tm  0.7506  0.7506  0.2475  0.00
Tm  0.0829  0.4153  0.2477  0.00
Tm  0.5847  0.9171  0.7523  0.00
Tm  0.2494  0.2494  0.7525  0.00
Tm  0.4153  0.0829  0.2477  0.00
Th  0.0000  0.0000  0.0000  0.02

Properties
As for the space-group type: C2/m, No. 12.

---

[7]
This record from Alexandria describes an optimized crystal structure of CeHoTm2Th. The functional is GGA-PBE.

abc: 5.4657 8.6842 6.9095
angles: 90.02 90.00 90.00
Each line ends with the local moment (μB).
Fractional positions:
Ce  0.0000  0.0000  0.0000  0.46
Ce  0.0000  0.0000  0.5000  0.46
Ho  0.9999  0.5000  0.7500  0.00
Ho  0.0001  0.5000  0.2500  0.00
Tm  0.5000  0.6791  0.9998  -0.01
Tm  0.5000  0.3209  0.5002  -0.01
Tm  0.5000  0.6791  0.4998  -0.01
Tm  0.5000  0.3209  0.0002  -0.01
Th  0.5000  0.0000  0.2500  0.05
Th  0.5000  0.0000  0.7500  0.05

Properties
As for the space-group type: Pmmm, No. 47.

---

[8]
This record from Alexandria describes an optimized crystal structure of CeHoTmTh. The functional is GGA-PBE.

abc: 3.5297 3.5296 11.4920
angles: 90.00 98.85 120.00
Each line ends with the local moment (μB).
Fractional positions:
Ce  0.3037  0.5502  0.8693  0.13
Ho  0.9693  0.3824  0.3674  0.02
Tm  0.4705  0.1333  0.6186  0.05
Th  0.1344  0.9648  0.1144  0.00

Properties
As for the polymorph energy (0 for the lowest one): 0 meV per atom. As for the space-group type: R3m, No. 160.

---

Number 1: energy of formation 187 meV/atom, total DFT energy (no corrections) -6.1512 eV/atom, spin magnetization 0.00 μB per atom. Number 2: energy of formation 42 meV/atom, total DFT energy (no corrections) -6.2954 eV/atom, spin magnetization 0.00 μB per atom. Number 3: energy of formation 43 meV/atom, total DFT energy (no corrections) -6.6556 eV/atom, spin magnetization 0.00 μB per atom. Number 4: energy of formation 75 meV/atom, total DFT energy (no corrections) -4.9994 eV/atom, spin magnetization 0.12 μB per atom. Number 5: energy of formation 226 meV/atom, total DFT energy (no corrections) -5.3745 eV/atom, spin magnetization 0.71 μB per atom. Number 6: energy of formation 42 meV/atom, total DFT energy (no corrections) -4.9459 eV/atom, spin magnetization 0.09 μB per atom. Number 7: energy of formation 311 meV/atom, total DFT energy (no corrections) -5.0642 eV/atom, spin magnetization 0.12 μB per atom. Number 8: energy of formation 23 meV/atom, total DFT energy (no corrections) -5.5776 eV/atom, spin magnetization 0.06 μB per atom.